Entry 1:
Below is a relaxed structure of Ca3Zn2In4, with properties calculated at the GGA-PBE level.

Unit cell a=4.819 b=6.096 c=9.030 alpha=72.66 beta=74.52 gamma=66.72
Element x y z (fractional)
In 0.967 0.704 0.361
In 0.260 0.395 0.085
In 0.740 0.605 0.915
In 0.033 0.296 0.639
Ca 0.000 0.000 0.000
Ca 0.674 0.302 0.350
Ca 0.326 0.698 0.650
Zn 0.400 0.929 0.272
Zn 0.600 0.071 0.728

Output
- Space group: C2/m, No. 12
- Total magnetization: 0.000 Bohr magnetons per cell
- ΔH_f (0 K): -3.46 eV per formula unit
- ρ: 5.15 Mg/m³

=====

Entry 2:
Below is a relaxed structure of KAs2Au, with properties calculated at the GGA-PBE level.

Unit cell a=6.153 b=6.153 c=6.066 alpha=104.61 beta=104.61 gamma=27.15
Element x y z (fractional)
K 0.240 0.240 0.290
As 0.972 0.972 0.877
As 0.765 0.765 0.806
Au 0.523 0.523 0.527

Output
- Space group: Cm, No. 8
- Total magnetization: 0.000 Bohr magnetons per cell
- ΔH_f (0 K): -0.03 eV per formula unit
- ρ: 6.33 Mg/m³
- Excess energy over the best structure of this formula in the dataset: 151 meV/atom

=====

Entry 3:
Below is a relaxed structure of RbPu2Bi3, with properties calculated at the GGA-PBE level.

Unit cell a=3.601 b=3.601 c=14.737 alpha=90.00 beta=90.00 gamma=90.00
Element x y z (fractional)
Bi 0.000 0.000 0.000
Bi 0.000 0.000 0.694
Bi 0.000 0.000 0.306
Rb 0.500 0.500 0.500
Pu 0.500 0.500 0.847
Pu 0.500 0.500 0.153

Output
- Space group: P4/mmm, No. 123
- Total magnetization: 11.725 Bohr magnetons per cell
- ΔH_f (0 K): -2.07 eV per formula unit
- ρ: 10.43 Mg/m³